Here is a relaxed structure of Ac6Tl3Ir from the Alexandria database. Energies are from PBE.

Unit cell a=7.3495 b=9.3470 c=13.0455 alpha=90.00 beta=119.56 gamma=90.00
With the nearest neighbours (Å) after each atom.
Fractional positions:
1 Ac 0.0782 0.0605 0.2358  1 Ir 2.89
2 Ac 0.0782 0.4395 0.7358  1 Ir 2.89
3 Ac 0.1940 0.7050 0.0705  1 Ir 3.03
4 Ac 0.1940 0.7950 0.5705  1 Ir 3.03
5 Ac 0.3971 0.1545 0.0587  1 Ir 3.00
6 Ac 0.3971 0.3455 0.5587  1 Ir 3.00
7 Ac 0.6029 0.6545 0.4413  1 Ir 3.00
8 Ac 0.6029 0.8455 0.9413  1 Ir 3.00
9 Ac 0.8060 0.2050 0.4295  1 Ir 3.03
10 Ac 0.8060 0.2950 0.9295  1 Ir 3.03
11 Ac 0.9218 0.5605 0.2642  1 Ir 2.89
12 Ac 0.9218 0.9395 0.7642  1 Ir 2.89
13 Tl 0.3159 0.1101 0.7358  6 Ac 3.45-3.66
14 Tl 0.3159 0.3899 0.2358  6 Ac 3.45-3.66
15 Tl 0.5000 0.0000 0.5000  6 Ac 3.36-3.49
16 Tl 0.5000 0.5000 0.0000  6 Ac 3.36-3.49
17 Tl 0.6841 0.6101 0.7642  6 Ac 3.45-3.66
18 Tl 0.6841 0.8899 0.2642  6 Ac 3.45-3.66
19 Ir 0.0000 0.0000 0.0000  6 Ac 2.89-3.03
20 Ir 0.0000 0.5000 0.5000  6 Ac 2.89-3.03

Results
Energy relative to the lowest polymorph listed for this composition, meV per atom: 0.0
DOS(E_F), states/eV per cell: 25.54
DFT formation energy, kJ per mole of atoms: -31.7
SG: No. 14
Volume, Å³ per atom: 39.0